[1]
{"formula": "NdTm3Tl4", "functional": "GGA-PBE", "state": "optimized geometry", "cell": [[-1.741, 3.615, 9.269], [1.741, -3.615, 9.269], [1.741, 3.615, -9.269]], "species": ["Nd", "Tm", "Tm", "Tm", "Tl", "Tl", "Tl", "Tl"], "frac_coords": [[0.000, 0.000, 0.000], [0.220, 0.720, 0.500], [0.500, 0.500, 0.000], [0.780, 0.280, 0.500], [0.157, 0.871, 0.287], [0.416, 0.129, 0.287], [0.584, 0.871, 0.713], [0.843, 0.129, 0.713]], "magmom_total_mub_per_atom": 0.00, "delta_e_f_ev_per_atom": -0.19, "sg": "No. 71", "relative_energy_ev_per_atom": 0.128}


[2]
{"formula": "Ba5Tl2I2", "functional": "GGA-PBE", "state": "optimized geometry", "cell": [[9.059, -4.777, 0.000], [9.059, 4.777, 0.000], [0.000, 0.000, 9.557]], "species": ["Ba", "Ba", "Ba", "Ba", "Ba", "Ba", "Ba", "Ba", "Ba", "Ba", "Tl", "Tl", "Tl", "Tl", "I", "I", "I", "I"], "frac_coords": [[0.000, 0.000, 0.000], [0.037, 0.712, 0.659], [0.212, 0.537, 0.159], [0.288, 0.963, 0.659], [0.463, 0.788, 0.159], [0.500, 0.500, 0.500], [0.537, 0.212, 0.841], [0.712, 0.037, 0.341], [0.788, 0.463, 0.841], [0.963, 0.288, 0.341], [0.130, 0.870, 0.370], [0.370, 0.630, 0.870], [0.630, 0.370, 0.130], [0.870, 0.130, 0.630], [0.204, 0.204, 0.000], [0.296, 0.296, 0.500], [0.704, 0.704, 0.500], [0.796, 0.796, 0.000]], "e_form_raw_kcal_per_mol_atoms": -18.629, "magmom_total_mub_per_atom": 0.00, "sg": "No. 64"}


Sequential V output: 233, 827 Å³/cell